[1]
This record from Alexandria describes crystalline SbOsRhI2 at its relaxed geometry. The functional is PBE-GGA.

Computed properties:
* Fermi-level density of states: 8.5 states/eV/cell
* raw formation energy: 1272 meV/atom
* final energy: -3.889 eV/atom

Lattice parameters (Å, degrees): 5.479 5.479 4.979 90.00 90.00 90.00
Space group P4/mmm (No. 123)
Asymmetric unit:
Sb1 0.000 0.000 0.000 x1
Os1 0.000 0.000 0.500 x1
Rh1 0.500 0.500 0.000 x1
I1 0.000 0.500 0.500 x2

[2]
This record from Alexandria describes crystalline Os2RhSeI at its relaxed geometry. The functional is PBE-GGA.

Computed properties:
* Fermi-level density of states: 5.4 states/eV/cell
* raw formation energy: 2721 meV/atom
* final energy: -4.248 eV/atom

Lattice parameters (Å, degrees): 4.817 4.817 5.320 90.00 90.00 90.00
Space group P4/mmm (No. 123)
Asymmetric unit:
Os1 0.000 0.500 0.000 x2
Rh1 0.000 0.000 0.500 x1
Se1 0.500 0.500 0.500 x1
I1 0.500 0.500 0.000 x1